# 1
## AcAl3Pd3 (PBE)

Data for AcAl3Pd3 after structural relaxation. Values from VASP.

The calculation puts the total magnetic moment at 0.00 μB per formula unit. For the calculated volume, the calculation gives 20.327 A^3/atom. As for the space group: R-3. The total energy is -70.807 eV per cell. As for the density: 7.320 Mg/m³. For the energy of formation from the pure elements, the calculation gives -62 kJ/mol of atoms.

Geometry as Quantum ESPRESSO input:
```
&SYSTEM
  ibrav = 0, nat = 14, ntyp = 3
/
ATOMIC_SPECIES
Al 26.98 Al.upf
Pd 106.42 Pd.upf
Ac 227.00 Ac.upf
ATOMIC_POSITIONS crystal
Al 0.738 0.091 0.614
Al 0.091 0.557 0.614
Al 0.262 0.909 0.386
Al 0.557 0.738 0.614
Al 0.443 0.262 0.386
Al 0.909 0.443 0.386
Pd 0.901 0.160 0.258
Pd 0.160 0.681 0.258
Pd 0.681 0.901 0.258
Pd 0.099 0.840 0.742
Pd 0.319 0.099 0.742
Pd 0.840 0.319 0.742
Ac 0.659 0.659 0.023
Ac 0.341 0.341 0.977
CELL_PARAMETERS angstrom
6.815 0.000 0.000
3.407 5.902 0.000
3.407 1.967 7.075
```

# 2
## LaAg4Ge2 (PBE)

Data for LaAg4Ge2 after structural relaxation. Values from VASP.

The calculation puts the total magnetic moment at 0.00 μB per formula unit. For the calculated volume, the calculation gives 20.435 A^3/atom. As for the space group: Cmmm. The total energy is -27.629 eV per cell. As for the density: 8.308 Mg/m³. For the energy of formation from the pure elements, the calculation gives -28 kJ/mol of atoms.

Geometry as Quantum ESPRESSO input:
```
&SYSTEM
  ibrav = 0, nat = 7, ntyp = 3
/
ATOMIC_SPECIES
Ge 72.64 Ge.upf
Ag 107.87 Ag.upf
La 138.91 La.upf
ATOMIC_POSITIONS crystal
Ge 0.500 0.417 0.834
Ge 0.500 0.583 0.166
Ag 0.000 0.316 0.632
Ag 0.500 0.816 0.632
Ag 0.000 0.684 0.368
Ag 0.500 0.184 0.368
La 0.000 0.000 0.000
CELL_PARAMETERS angstrom
-1.294 1.305 -3.982
-1.889 -3.878 -0.658
-5.423 4.545 3.251
```

# 3
## BaZr2Cu (PBE)

Data for BaZr2Cu after structural relaxation. Values from VASP.

The calculation puts the total magnetic moment at 0.00 μB per formula unit. For the calculated volume, the calculation gives 25.465 A^3/atom. As for the space group: C2/m. The total energy is -20.822 eV per cell. As for the density: 6.249 Mg/m³. For the energy of formation from the pure elements, the calculation gives 55 kJ/mol of atoms.

Geometry as Quantum ESPRESSO input:
```
&SYSTEM
  ibrav = 0, nat = 4, ntyp = 3
/
ATOMIC_SPECIES
Zr 91.22 Zr.upf
Cu 63.55 Cu.upf
Ba 137.33 Ba.upf
ATOMIC_POSITIONS crystal
Zr 0.000 0.000 0.000
Zr 0.500 0.000 0.500
Cu 0.500 0.500 0.000
Ba 0.000 0.500 0.500
CELL_PARAMETERS angstrom
5.282 0.000 -0.001
-2.639 6.161 0.006
0.005 0.852 3.131
```

# 4
## Rb2MgPb (PBE)

Data for Rb2MgPb after structural relaxation. Values from VASP.

The calculation puts the total magnetic moment at 0.43 μB per formula unit. For the calculated volume, the calculation gives 44.493 A^3/atom. As for the space group: Fm-3m. The total energy is -6.339 eV per cell. As for the density: 3.755 Mg/m³. For the energy of formation from the pure elements, the calculation gives 22 kJ/mol of atoms.

Geometry as Quantum ESPRESSO input:
```
&SYSTEM
  ibrav = 0, nat = 4, ntyp = 3
/
ATOMIC_SPECIES
Rb 85.47 Rb.upf
Mg 24.30 Mg.upf
Pb 207.20 Pb.upf
ATOMIC_POSITIONS crystal
Rb 0.250 0.250 0.250
Rb 0.750 0.750 0.750
Mg 0.000 0.000 0.000
Pb 0.500 0.500 0.500
CELL_PARAMETERS angstrom
4.846 -0.760 3.976
-1.076 -1.503 6.037
1.464 -5.761 2.128
```

# 5
## Nd2Dy6Y3In (PBE)

Data for Nd2Dy6Y3In after structural relaxation. Values from VASP.

The calculation puts the total magnetic moment at 0.00 μB per formula unit. For the calculated volume, the calculation gives 31.256 A^3/atom. As for the space group: C2/m. The total energy is -59.902 eV per cell. As for the density: 7.283 Mg/m³. For the energy of formation from the pure elements, the calculation gives -5 kJ/mol of atoms.

Geometry as Quantum ESPRESSO input:
```
&SYSTEM
  ibrav = 0, nat = 12, ntyp = 4
/
ATOMIC_SPECIES
Dy 162.50 Dy.upf
In 114.82 In.upf
Y 88.91 Y.upf
Nd 144.24 Nd.upf
ATOMIC_POSITIONS crystal
Dy 0.756 0.756 0.250
Dy 0.244 0.244 0.750
Dy 0.410 0.083 0.249
Dy 0.590 0.917 0.751
Dy 0.917 0.590 0.751
Dy 0.083 0.410 0.249
In 0.000 0.000 0.000
Y 0.167 0.833 0.500
Y 0.833 0.167 0.500
Y 0.500 0.500 0.500
Nd 0.666 0.334 0.000
Nd 0.334 0.666 0.000
CELL_PARAMETERS angstrom
-2.438 4.674 -3.106
-2.998 -5.320 0.380
-3.450 3.873 10.545
```

# 6
## LaZnIn2 (PBE)

Data for LaZnIn2 after structural relaxation. Values from VASP.

The calculation puts the total magnetic moment at 0.00 μB per formula unit. For the calculated volume, the calculation gives 25.943 A^3/atom. As for the space group: I-4m2. The total energy is -12.816 eV per cell. As for the density: 6.944 Mg/m³. For the energy of formation from the pure elements, the calculation gives -27 kJ/mol of atoms.

Geometry as Quantum ESPRESSO input:
```
&SYSTEM
  ibrav = 0, nat = 4, ntyp = 3
/
ATOMIC_SPECIES
In 114.82 In.upf
La 138.91 La.upf
Zn 65.41 Zn.upf
ATOMIC_POSITIONS crystal
In 0.250 0.750 0.500
In 0.000 0.000 0.000
La 0.500 0.500 0.000
Zn 0.750 0.250 0.500
CELL_PARAMETERS angstrom
5.658 0.045 0.000
1.571 5.435 0.000
-3.614 -2.740 3.382
```

# 7
## Ba4Sr5Ca3 (PBE)

Data for Ba4Sr5Ca3 after structural relaxation. Values from VASP.

The calculation puts the total magnetic moment at 0.00 μB per formula unit. For the calculated volume, the calculation gives 55.985 A^3/atom. As for the space group: C2/m. The total energy is -20.504 eV per cell. As for the density: 2.738 Mg/m³. For the energy of formation from the pure elements, the calculation gives 13 kJ/mol of atoms.

Geometry as Quantum ESPRESSO input:
```
&SYSTEM
  ibrav = 0, nat = 12, ntyp = 3
/
ATOMIC_SPECIES
Ca 40.08 Ca.upf
Ba 137.33 Ba.upf
Sr 87.62 Sr.upf
ATOMIC_POSITIONS crystal
Ca 0.000 0.500 0.500
Ca 0.472 0.307 0.749
Ca 0.528 0.693 0.251
Ba 0.836 0.952 0.375
Ba 0.153 0.766 0.927
Ba 0.847 0.234 0.073
Ba 0.164 0.048 0.625
Sr 0.645 0.923 0.787
Sr 0.195 0.474 0.136
Sr 0.500 0.500 0.500
Sr 0.355 0.077 0.213
Sr 0.805 0.526 0.864
CELL_PARAMETERS angstrom
-5.115 -3.144 3.808
3.469 -8.646 4.158
-2.371 6.608 8.908
```

# 8
## Pm3Dy5Er2 (PBE)

Data for Pm3Dy5Er2 after structural relaxation. Values from VASP.

The calculation puts the total magnetic moment at 0.00 μB per formula unit. For the calculated volume, the calculation gives 34.219 A^3/atom. As for the space group: Ibam. The total energy is -85.898 eV per cell. As for the density: 7.677 Mg/m³. For the energy of formation from the pure elements, the calculation gives 33 kJ/mol of atoms.

Geometry as Quantum ESPRESSO input:
```
&SYSTEM
  ibrav = 0, nat = 20, ntyp = 3
/
ATOMIC_SPECIES
Pm 145.00 Pm.upf
Dy 162.50 Dy.upf
Er 167.26 Er.upf
ATOMIC_POSITIONS crystal
Pm 0.750 0.000 0.000
Pm 0.342 0.405 0.910
Pm 0.658 0.595 0.090
Pm 0.158 0.090 0.595
Pm 0.250 0.000 0.000
Pm 0.842 0.910 0.405
Dy 0.499 0.251 0.251
Dy 0.599 0.245 0.557
Dy 0.250 0.500 0.500
Dy 0.999 0.251 0.251
Dy 0.401 0.755 0.443
Dy 0.001 0.749 0.749
Dy 0.099 0.557 0.245
Dy 0.501 0.749 0.749
Dy 0.750 0.500 0.500
Dy 0.901 0.443 0.755
Er 0.602 0.054 0.742
Er 0.102 0.742 0.054
Er 0.398 0.946 0.258
Er 0.898 0.258 0.946
CELL_PARAMETERS angstrom
-0.080 -5.651 2.821
-4.189 -7.130 -7.327
10.438 -3.618 0.118
```